1.
P2OsPb2 | PBEsol | relaxed

abc: 5.8376 5.8376 6.4670
angles: 90.00 90.00 90.00
Fractional positions:
P1 0.0000 0.0000 0.1565
P2 0.0000 0.0000 0.8435
P3 0.5000 0.5000 0.3435
P4 0.5000 0.5000 0.6565
Os1 0.0000 0.0000 0.5000
Os2 0.5000 0.5000 0.0000
Pb1 0.0000 0.5000 0.2500
Pb2 0.0000 0.5000 0.7500
Pb3 0.5000 0.0000 0.2500
Pb4 0.5000 0.0000 0.7500

Formation energy from the elements = 665.9 meV/atom
Mass density = 10.0 g/cm³
Energy = -56.933 eV for the cell shown
SG = No. 139

=====

2.
POsPbS2 | PBEsol | relaxed

abc: 4.9396 4.9396 5.1261
angles: 90.00 90.00 90.00
Fractional positions:
P1 0.0000 0.0000 0.0000
Os1 0.5000 0.5000 0.0000
Pb1 0.0000 0.0000 0.5000
S1 0.0000 0.5000 0.5000
S2 0.5000 0.0000 0.5000

Mass density = 6.5 g/cm³
Energy = -20.212 eV for the cell shown
SG = No. 123
Formation energy (no corrections) = 2.112 eV/atom

=====

3.
P3OsPd | PBEsol | relaxed

abc: 4.5270 4.5270 4.5270
angles: 90.00 90.00 90.00
Fractional positions:
P1 0.0000 0.0000 0.5000
P2 0.0000 0.5000 0.0000
P3 0.5000 0.0000 0.0000
Os1 0.0000 0.0000 0.0000
Pd1 0.5000 0.5000 0.5000

Formation energy from the elements = 876.9 meV/atom
Mass density = 7.0 g/cm³
Energy = -31.164 eV for the cell shown
SG = No. 221

=====

4.
PrP12Os4 | PBEsol | relaxed

abc: 6.9791 6.9791 6.9791
angles: 109.47 109.47 109.47
Fractional positions:
Pr1 0.0000 0.0000 0.0000
P1 0.1440 0.3572 0.5012
P2 0.1440 0.6428 0.7868
P3 0.2132 0.8560 0.3572
P4 0.3572 0.2132 0.8560
P5 0.3572 0.5012 0.1440
P6 0.4988 0.8560 0.6428
P7 0.5012 0.1440 0.3572
P8 0.6428 0.4988 0.8560
P9 0.6428 0.7868 0.1440
P10 0.7868 0.1440 0.6428
P11 0.8560 0.3572 0.2132
P12 0.8560 0.6428 0.4988
Os1 0.0000 0.0000 0.5000
Os2 0.0000 0.5000 0.0000
Os3 0.5000 0.0000 0.0000
Os4 0.5000 0.5000 0.5000

Formation energy from the elements = -658.9 meV/atom
Mass density = 8.1 g/cm³
Energy = -134.747 eV for the cell shown
SG = No. 204

=====

5.
POsPt2 | PBEsol | relaxed

abc: 2.7927 4.8457 8.5786
angles: 90.00 90.00 90.00
Fractional positions:
P1 0.0000 0.0000 0.0000
P2 0.5000 0.5000 0.0000
Os1 0.0000 0.5000 0.7882
Os2 0.5000 0.0000 0.7882
Pt1 0.0000 0.0000 0.5110
Pt2 0.0000 0.5000 0.2308
Pt3 0.5000 0.0000 0.2308
Pt4 0.5000 0.5000 0.5110

Formation energy from the elements = 247.4 meV/atom
Mass density = 17.5 g/cm³
Energy = -61.889 eV for the cell shown
SG = No. 35

=====

6.
POsPt | PBEsol | relaxed

abc: 5.8047 5.8047 5.8047
angles: 90.00 90.00 90.00
Fractional positions:
P1 0.0000 0.0000 0.0000
P2 0.0000 0.5000 0.5000
P3 0.5000 0.0000 0.5000
P4 0.5000 0.5000 0.0000
Os1 0.2500 0.2500 0.7500
Os2 0.2500 0.7500 0.2500
Os3 0.7500 0.2500 0.2500
Os4 0.7500 0.7500 0.7500
Pt1 0.0000 0.0000 0.5000
Pt2 0.0000 0.5000 0.0000
Pt3 0.5000 0.0000 0.0000
Pt4 0.5000 0.5000 0.5000

Formation energy from the elements = 249.0 meV/atom
Mass density = 14.1 g/cm³
Energy = -96.895 eV for the cell shown
SG = No. 216
Excess energy over the best structure of this formula in the dataset = 0.183 eV/atom

=====

Question: Which of these has the lowest energy?
Answer: PrP12Os4